VASP calculation (PBE-GGA) on a relaxed Ag7Se2Br2Cl crystal.

Geometry as CIF:
```
data_Ag7Se2Br2Cl
_chemical_formula_sum 'Ag14 Se4 Br4 Cl2'
_cell_length_a 4.656
_cell_length_b 24.520
_cell_length_c 5.462
_cell_angle_alpha 90.00
_cell_angle_beta 90.00
_cell_angle_gamma 90.00
_symmetry_space_group_name_H-M 'I m m 2'
_symmetry_Int_Tables_number 44
loop_
_symmetry_equiv_pos_as_xyz
'x,y,z'
'-x,-y,z'
'-x,y,z'
'x,-y,z'
'x+1/2,y+1/2,z+1/2'
'-x+1/2,-y+1/2,z+1/2'
'-x+1/2,y+1/2,z+1/2'
'x+1/2,-y+1/2,z+1/2'
loop_
_atom_site_label
_atom_site_fract_x
_atom_site_fract_y
_atom_site_fract_z
_atom_site_occupancy
Ag1 0.000 0.000 0.000 1
Ag2 0.000 0.091 0.410 1
Ag3 0.000 0.218 0.910 1
Ag4 0.000 0.433 0.266 1
Se1 0.000 0.104 0.911 1
Br1 0.000 0.214 0.410 1
Cl1 0.000 0.500 0.868 1
```

- Formation energy from raw total energies: -0.1646 eV/atom